[1]
The following is a PBEsol calculation of an optimized crystal structure of Zr2ZnCo2, from Alexandria via LeMat-Bulk.

Calculated values
DOS at the Fermi energy   1.03 states/eV/atom

a b c (Å): 3.3427 6.7662 6.7662
angles (deg): 90.00 90.00 90.00
Last column: nearest neighbours and their distance in Å.
Fractional positions:
Zn1 0.0000 0.0000 0.0000  4 Co 2.67
Zn2 0.0000 0.5000 0.5000  4 Co 2.67
Co1 0.0000 0.3744 0.8744  1 Co 2.40, 6 Zr 2.52-2.66, 2 Zn 2.67
Co2 0.0000 0.8744 0.6256  1 Co 2.40, 6 Zr 2.52-2.66, 2 Zn 2.67
Co3 0.0000 0.6256 0.1256  1 Co 2.40, 6 Zr 2.52-2.66, 2 Zn 2.67
Co4 0.0000 0.1256 0.3744  1 Co 2.40, 6 Zr 2.52-2.66, 2 Zn 2.67
Zr1 0.5000 0.1767 0.6767  6 Co 2.52-2.66
Zr2 0.5000 0.6767 0.8233  6 Co 2.52-2.66
Zr3 0.5000 0.8233 0.3233  6 Co 2.52-2.66
Zr4 0.5000 0.3233 0.1767  6 Co 2.52-2.66



[2]
The following is a PBEsol calculation of an optimized crystal structure of Zr2TlOs, from Alexandria via LeMat-Bulk.

Calculated values
DOS at the Fermi energy   0.62 states/eV/atom
Energy above the most stable polymorph in this dataset   205.8 meV/atom

a b c (Å): 3.5170 4.6782 4.6782
angles (deg): 90.00 90.00 90.00
Last column: nearest neighbours and their distance in Å.
Fractional positions:
Os1 0.5000 0.5000 0.5000  8 Zr 2.93
Tl1 0.5000 0.0000 0.0000  8 Zr 2.93
Zr1 0.0000 0.0000 0.5000  4 Tl 2.93, 4 Os 2.93
Zr2 0.0000 0.5000 0.0000  4 Tl 2.93, 4 Os 2.93



We obtain calculated total energy values of -7.373 -8.365 eV per atom for the records listed above, in that order.
We obtain formation enthalpy at 0 K values of -0.3262 -0.1090 eV per atom for the records listed above, in that order.